Here is an optimized crystal structure of AlMoBr2 from Alexandria via LeMat-Bulk. Energies are from PBE.

a b c (Å): 4.778 4.778 4.778
angles (deg): 60.00 60.00 60.00
Fractional coordinates of all 4 atoms:
Al1 0.000 0.000 0.000
Mo1 0.500 0.500 0.500
Br1 0.250 0.250 0.250
Br2 0.750 0.750 0.750

Summary:
SG: Fm-3m
Relative energy among the computed polymorphs in meV/atom: 921
Crystal system: cubic
Mass density in g/cm³: 6.09
Uncorrected formation energy in kJ/mol of atoms: 68.7
Magnetization in μB per atom: 0.295